# 1
ThIrSe2 | Alexandria | PBE | relaxed; DOS(E_F) = 0.924 states/eV/atom; E = -0.4435 Ry per atom; theoretical density = 9.38 g cm⁻³; raw formation energy = -0.9 eV per formula unit
1.0
1.8682 1.0786 8.5208
-1.8682 1.0786 8.5208
0.0000 -2.1572 8.5208
Th Ir Se
1 1 2
Cartesian
0.0000 0.0000 0.0000
0.0000 0.0000 12.7812
0.0000 0.0000 2.9703
0.0000 0.0000 22.5921

# 2
Th4TlIrSe2 | Alexandria | PBE | relaxed; DOS(E_F) = 0.784 states/eV/atom; E = -0.5113 Ry per atom; theoretical density = 10.73 g cm⁻³; raw formation energy = -7.8 eV per formula unit
1.0
7.5280 0.0000 0.0000
0.0000 4.1634 0.0000
-2.4179 0.0000 7.3226
Th Tl Ir Se
4 1 1 2
Cartesian
1.1507 0.0000 1.6047
0.0441 2.0817 5.6597
5.0660 2.0817 1.6629
3.9594 0.0000 5.7179
-1.2089 0.0000 3.6613
0.0000 2.0817 0.0000
3.7640 0.0000 0.0000
2.5551 2.0817 3.6613

# 3
Th6TlIr2Se3 | Alexandria | PBE | relaxed; DOS(E_F) = 0.698 states/eV/atom; E = -0.5400 Ry per atom; theoretical density = 10.91 g cm⁻³; raw formation energy = -13.1 eV per formula unit
1.0
9.4204 -2.0841 0.0000
9.4204 2.0841 0.0000
-2.2381 0.0000 8.6010
Th Tl Ir Se
6 1 2 3
Cartesian
-0.3896 0.0000 2.3245
5.1676 0.0000 3.7461
4.1761 0.0000 7.6295
12.4267 0.0000 0.9715
11.4352 0.0000 4.8549
16.9923 0.0000 6.2765
9.4204 0.0000 0.0000
2.4433 0.0000 2.8904
14.1595 0.0000 5.7106
1.1301 0.0000 7.1695
8.3014 0.0000 4.3005
15.4727 0.0000 1.4315

# 4
TmThIrSe | Alexandria | PBE | relaxed; DOS(E_F) = 0.307 states/eV/atom; E = -0.5362 Ry per atom; theoretical density = 10.90 g cm⁻³; raw formation energy = -4.9 eV per formula unit
1.0
2.0067 1.1586 7.3402
-2.0067 1.1586 7.3402
0.0000 -2.3171 7.3402
Tm Th Ir Se
1 1 1 1
Cartesian
0.0000 0.0000 0.0000
0.0000 0.0000 4.1562
0.0000 0.0000 13.0929
0.0000 0.0000 9.2772